# 1
Computed, not measured: a geometry-optimized Ac2HoTh structure at the PBE level of DFT.

formation energy = 127 meV/atom
final energy = -0.181 Ha/atom
density of states at the Fermi level = 5.6 states/eV/f.u.
energy relative to the lowest polymorph listed for this composition = 2 meV per atom

abc: 5.325 5.322 5.322
angles: 90.00 90.00 90.00
Positions (direct):
1 Ac 0.000 0.500 0.000
2 Ac 0.000 0.000 0.500
3 Ho 0.500 0.500 0.500
4 Th 0.500 0.000 0.000

=====

# 2
Computed, not measured: a geometry-optimized AcHoTh2 structure at the PBE level of DFT.

formation energy = 114 meV/atom
final energy = -0.212 Ha/atom
density of states at the Fermi level = 5.5 states/eV/f.u.
energy relative to the lowest polymorph listed for this composition = 0 meV per atom

abc: 3.650 3.650 12.152
angles: 81.36 81.36 60.00
Positions (direct):
1 Th 0.080 0.080 0.760
2 Th 0.253 0.253 0.240
3 Ho 0.668 0.668 0.997
4 Ac 0.499 0.499 0.503

=====

# 3
Computed, not measured: a geometry-optimized AcHo2Th structure at the PBE level of DFT.

formation energy = 137 meV/atom
final energy = -0.185 Ha/atom
density of states at the Fermi level = 6.5 states/eV/f.u.
energy relative to the lowest polymorph listed for this composition = 98 meV per atom

abc: 5.796 5.796 5.796
angles: 60.00 60.00 60.00
Positions (direct):
1 Ho 0.250 0.250 0.250
2 Ho 0.750 0.750 0.750
3 Ac 0.500 0.500 0.500
4 Th 0.000 0.000 0.000

=====

# 4
Computed, not measured: a geometry-optimized AcHo2Th structure at the PBE level of DFT.

formation energy = 164 meV/atom
final energy = -0.184 Ha/atom
density of states at the Fermi level = 6.0 states/eV/f.u.
energy relative to the lowest polymorph listed for this composition = 124 meV per atom

abc: 3.591 3.591 12.775
angles: 81.92 81.92 60.00
Positions (direct):
1 Ac 0.000 0.000 0.000
2 Th 0.500 0.500 0.500
3 Ho 0.906 0.906 0.282
4 Ho 0.094 0.094 0.718

=====

# 5
Computed, not measured: a geometry-optimized AcHoTh2 structure at the PBE level of DFT.

formation energy = 135 meV/atom
final energy = -0.211 Ha/atom
density of states at the Fermi level = 6.9 states/eV/f.u.
energy relative to the lowest polymorph listed for this composition = 21 meV per atom

abc: 5.243 5.133 5.133
angles: 90.00 90.00 90.00
Positions (direct):
1 Ho 0.500 0.000 0.000
2 Ac 0.500 0.500 0.500
3 Th 0.000 0.000 0.500
4 Th 0.000 0.500 0.000

=====

# 6
Computed, not measured: a geometry-optimized AcHoTh structure at the PBE level of DFT.

formation energy = 214 meV/atom
final energy = -0.189 Ha/atom
density of states at the Fermi level = 4.4 states/eV/f.u.
energy relative to the lowest polymorph listed for this composition = 124 meV per atom

abc: 5.108 5.108 8.789
angles: 90.00 90.00 90.00
Positions (direct):
1 Ho 0.000 0.500 0.742
2 Ho 0.500 0.000 0.258
3 Th 0.000 0.000 0.000
4 Ac 0.000 0.500 0.314
5 Ac 0.500 0.000 0.686
6 Th 0.500 0.500 0.000

=====

The highest formation energy belongs to which entry?
AcHoTh

=====

Which of these has the highest density of states at the Fermi level?
number 5

=====

Look up the energy relative to the lowest polymorph listed for this composition of the first one.
2 meV per atom